This record from Alexandria describes crystalline Nd4Ru at its relaxed geometry. The functional is PBE.

Results
Relative energy among the computed polymorphs   346 meV/atom
E_form   0.271 eV/atom
E_tot   -5.3985 eV per atom
Space group   Fd-3m, No. 227

Cell lengths 7.8343, 7.8343, 7.8343 Å; angles 60.00, 60.00, 60.00 degrees
Last column: nearest neighbours and their distance in Å.
Element x y z (fractional)
Nd  0.8628  0.8628  0.8628  1 Ru 2.63
Nd  0.8628  0.4115  0.8628  1 Ru 2.63
Nd  0.8628  0.8628  0.4115  1 Ru 2.63
Nd  0.3872  0.8385  0.3872  1 Ru 2.63
Nd  0.3872  0.3872  0.3872  1 Ru 2.63
Nd  0.4115  0.8628  0.8628  1 Ru 2.63
Nd  0.3872  0.3872  0.8385  1 Ru 2.63
Nd  0.8385  0.3872  0.3872  1 Ru 2.63
Ru  0.2500  0.2500  0.2500  4 Nd 2.63
Ru  0.0000  0.0000  0.0000  4 Nd 2.63

This record from Alexandria describes crystalline TlBr2Cl at its relaxed geometry. The functional is PBE.

Results
Relative energy among the computed polymorphs   263 meV/atom
E_tot   -2.1307 eV per atom
Space group   P4mm, No. 99
Formation energy from raw total energies   -0.241 eV/atom

Cell lengths 5.1324, 5.1323, 5.4129 Å; angles 90.00, 90.00, 90.00 degrees
Last column: nearest neighbours and their distance in Å.
Element x y z (fractional)
Tl  0.5000  0.5000  0.7836  2 Br 2.70-2.71
Br  0.0000  0.0000  0.9634  2 Cl 2.67-2.74
Br  0.5000  0.5000  0.2832  2 Tl 2.70-2.71
Cl  0.0000  0.0000  0.4698  2 Br 2.67-2.74

This record from Alexandria describes crystalline YAlMo2 at its relaxed geometry. The functional is PBE.

Results
E_form   0.075 eV/atom
E_tot   -7.8925 eV per atom
Space group   F-43m, No. 216

Cell lengths 4.6927, 4.6927, 4.6927 Å; angles 60.00, 60.00, 60.00 degrees
Last column: nearest neighbours and their distance in Å.
Element x y z (fractional)
Y  0.7500  0.7500  0.7500  4 Mo 2.87, 4 Al 2.87
Mo  0.0000  0.0000  0.0000  4 Mo 2.87, 4 Y 2.87
Mo  0.2500  0.2500  0.2500  4 Al 2.87, 4 Mo 2.87
Al  0.5000  0.5000  0.5000  4 Mo 2.87, 4 Y 2.87

This record from Alexandria describes crystalline TcPt3W at its relaxed geometry. The functional is PBE.

Results
Relative energy among the computed polymorphs   0 meV/atom
E_form   1.505 eV/atom
E_tot   -6.7830 eV per atom
Space group   Pm-3m, No. 221

Cell lengths 4.8299, 4.8299, 4.8299 Å; angles 90.00, 90.00, 90.00 degrees
Last column: nearest neighbours and their distance in Å.
Element x y z (fractional)
W  0.0000  0.0000  0.0000  6 Pt 2.41
Pt  0.0000  0.5000  0.0000  2 W 2.41
Pt  0.0000  0.0000  0.5000  2 W 2.41
Pt  0.5000  0.0000  0.0000  2 W 2.41
Tc  0.5000  0.5000  0.5000  12 Pt 3.42

This record from Alexandria describes crystalline TlAs2OsO8 at its relaxed geometry. The functional is PBE.

Results
E_tot   -6.2280 eV per atom
Space group   C2/m, No. 12
Formation energy from raw total energies   -1.015 eV/atom

Cell lengths 5.0502, 5.0502, 8.4811 Å; angles 86.44, 86.44, 65.75 degrees
Last column: nearest neighbours and their distance in Å.
Element x y z (fractional)
Tl  0.0000  0.0000  0.5000  6 O 2.89-3.13
As  0.6329  0.6329  0.1926  4 O 1.66-1.77
As  0.3671  0.3671  0.8074  4 O 1.66-1.77
Os  0.0000  0.0000  0.0000  6 O 1.96-1.97
O  0.7449  0.2407  0.8326  1 As 1.77, 1 Os 1.97
O  0.7688  0.7688  0.0255  1 As 1.76, 1 Os 1.96
O  0.6919  0.6919  0.3750  1 As 1.66
O  0.3081  0.3081  0.6250  1 As 1.66
O  0.2312  0.2312  0.9745  1 As 1.76, 1 Os 1.96
O  0.2407  0.7449  0.8326  1 As 1.77, 1 Os 1.97
O  0.7593  0.2551  0.1674  1 As 1.77, 1 Os 1.97
O  0.2551  0.7593  0.1674  1 As 1.77, 1 Os 1.97

This record from Alexandria describes crystalline La4Ag2Ir at its relaxed geometry. The functional is PBE.

Results
Relative energy among the computed polymorphs   0 meV/atom
E_form   -0.376 eV/atom
E_tot   -5.2722 eV per atom
Space group   C2/m, No. 12

Cell lengths 4.5841, 6.4315, 7.9195 Å; angles 102.50, 106.82, 90.00 degrees
Last column: nearest neighbours and their distance in Å.
Element x y z (fractional)
Ir  0.0000  0.0000  0.0000  6 La 2.80-2.96
Ag  0.2336  0.3537  0.4672  2 Ag 2.94, 4 La 3.22-3.25
Ag  0.7664  0.6463  0.5328  2 Ag 2.94, 4 La 3.22-3.25
La  0.1514  0.8182  0.3028  1 Ir 2.80
La  0.8486  0.1818  0.6972  1 Ir 2.80
La  0.4226  0.7295  0.8452  2 Ir 2.96, 3 Ag 3.25-3.30
La  0.5774  0.2705  0.1548  2 Ir 2.96, 3 Ag 3.25-3.30

Total magnetic moment values (in μB per atom) by entry order: 0.000; 0.046; 0.000; 0.795; 0.207; 0.000.